[1]
Here is crystalline SrTl2Ga at its relaxed geometry from the Alexandria database. Energies are from PBE.

- Offset from the most stable computed form: 0.067 eV/atom

Unit cell a=7.7247 b=7.7247 c=7.7247 alpha=90.00 beta=90.00 gamma=90.00
Space group Fm-3m (No. 225)
Asymmetric unit:
Sr (0.0000, 0.0000, 0.0000) (multiplicity 4)
Tl (0.2500, 0.2500, 0.2500) (multiplicity 8)
Ga (0.0000, 0.0000, 0.5000) (multiplicity 4)



[2]
Here is crystalline Sr2TlGa at its relaxed geometry from the Alexandria database. Energies are from PBE.

- Offset from the most stable computed form: 0.322 eV/atom

Unit cell a=8.8330 b=8.8330 c=7.6022 alpha=90.00 beta=90.00 gamma=90.00
Space group I-42d (No. 122)
Asymmetric unit:
Sr (0.2334, 0.7500, 0.1250) (multiplicity 8)
Tl (0.0000, 0.0000, 0.5000) (multiplicity 4)
Ga (0.0000, 0.0000, 0.0000) (multiplicity 4)



[3]
Here is crystalline SrTlGa at its relaxed geometry from the Alexandria database. Energies are from PBE.

Unit cell a=11.8765 b=4.9104 c=8.1069 alpha=90.00 beta=133.01 gamma=90.00
Space group Cm (No. 8)
Asymmetric unit:
Sr (0.0000, 0.0000, 0.0000) (multiplicity 2)
Sr (0.0010, 0.0000, 0.5107) (multiplicity 2)
Tl (0.1831, 0.5000, 0.9744) (multiplicity 2)
Tl (0.3183, 0.0000, 0.6076) (multiplicity 2)
Ga (0.1582, 0.5000, 0.3573) (multiplicity 2)
Ga (0.3423, 0.0000, 0.0413) (multiplicity 2)



[4]
Here is crystalline SrTlGa at its relaxed geometry from the Alexandria database. Energies are from PBE.

Unit cell a=4.8911 b=4.8911 c=4.2512 alpha=90.00 beta=90.00 gamma=120.00
Space group P3m1 (No. 156)
Asymmetric unit:
Sr (0.0000, 0.0000, 0.0000) (multiplicity 1)
Tl (0.6667, 0.3333, 0.5369) (multiplicity 1)
Ga (0.3333, 0.6667, 0.4397) (multiplicity 1)



Result set for energy of formation from the pure elements: -0.7 -0.3 -1.1 -1.0 eV per formula unit, one per record in the order listed.